Compound: VSi2O
Source: Alexandria via LeMat-Bulk
Functional: PBE+U
Structure: optimized geometry

Summary:
**E_tot**: -45.72 eV/cell
**Space group**: I-42d

a b c (Å): 5.8398 5.8398 5.2703
angles (deg): 56.36 56.36 90.00
Closest atoms and distances in Å follow each position.
Sites, in units of the cell vectors:
Si  0.5418  0.1250  0.2500  2 O 1.94
Si  0.2082  0.6250  0.2500  2 O 1.94
Si  0.3750  0.4582  0.7500  2 O 1.94
Si  0.8750  0.7918  0.7500  2 O 1.94
O  0.5000  0.5000  0.0000  4 Si 1.94
O  0.2500  0.7500  0.5000  4 Si 1.94
V  0.0000  0.0000  0.0000  4 Si 2.57
V  0.7500  0.2500  0.5000  4 Si 2.57